[1]
Hf6CoNi2 | PBE | optimized geometry

Cell and atoms, written as POSCAR:
```
Hf6CoNi2
1.0
5.533 0.000 0.000
0.000 6.923 0.000
-5.357 0.000 8.739
Hf Co Ni
12 2 4
Cartesian
-0.878 0.377 2.142
-3.556 3.085 6.511
0.809 4.948 0.565
-1.870 5.437 4.935
1.893 1.068 0.444
-0.785 2.394 4.813
0.962 4.529 3.925
-1.716 5.856 8.295
2.047 1.486 3.804
-0.632 1.976 8.173
3.733 3.838 2.228
1.054 6.547 6.597
0.088 0.000 4.369
2.767 3.462 0.000
-2.063 0.707 6.281
0.615 2.754 1.912
-0.438 4.169 6.827
2.240 6.216 2.457
```

Values from the calculation:
For the formation enthalpy at 0 K, the calculation gives -0.19 eV per atom. The value obtained for the calculated volume is 18.60 Å³/atom. As for the density of states at the Fermi level: 16.530 states/eV per cell. For the magnetization, the calculation gives 0.0 μB/cell.



[2]
Hf2CoNi9 | PBE | optimized geometry

Cell and atoms, written as POSCAR:
```
Hf2CoNi9
1.0
3.673 0.000 0.000
0.000 3.673 0.000
0.000 0.000 10.942
Hf Co Ni
2 1 9
Cartesian
0.000 0.000 1.902
0.000 0.000 9.040
0.000 0.000 5.471
0.000 1.836 0.000
0.000 1.836 3.792
0.000 1.836 7.150
1.836 0.000 0.000
1.836 0.000 3.792
1.836 0.000 7.150
1.836 1.836 1.873
1.836 1.836 5.471
1.836 1.836 9.070
```

Values from the calculation:
For the formation enthalpy at 0 K, the calculation gives -0.31 eV per atom. The value obtained for the calculated volume is 12.30 Å³/atom. As for the density of states at the Fermi level: 8.677 states/eV per cell. For the magnetization, the calculation gives 4.0 μB/cell.



[3]
HfCoNi2 | PBE | optimized geometry

Cell and atoms, written as POSCAR:
```
HfCoNi2
1.0
3.581 0.000 0.000
0.000 3.581 0.000
0.000 0.000 17.425
Hf Co Ni
4 4 8
Cartesian
0.000 0.000 0.000
0.000 1.790 4.356
1.790 0.000 13.069
1.790 1.790 8.713
0.000 0.000 8.713
0.000 1.790 13.069
1.790 0.000 4.356
1.790 1.790 0.000
0.788 0.895 10.891
0.895 2.578 15.247
0.895 2.793 6.534
1.003 0.895 2.178
2.578 2.686 2.178
2.686 0.788 6.534
2.686 1.003 15.247
2.793 2.686 10.891
```

Values from the calculation:
For the formation enthalpy at 0 K, the calculation gives 0.06 eV per atom. The value obtained for the calculated volume is 13.96 Å³/atom. As for the density of states at the Fermi level: 18.901 states/eV per cell. For the magnetization, the calculation gives 0.0 μB/cell.



[4]
Hf4CoNi2 | PBE | optimized geometry

Cell and atoms, written as POSCAR:
```
Hf4CoNi2
1.0
4.680 0.000 0.000
0.000 4.680 0.000
0.000 0.000 12.525
Hf Co Ni
8 2 4
Cartesian
0.000 0.000 2.465
0.000 0.000 10.060
0.000 2.340 0.000
0.000 2.340 6.263
2.340 0.000 0.000
2.340 0.000 6.263
2.340 2.340 3.798
2.340 2.340 8.727
0.000 0.000 0.000
2.340 2.340 6.263
0.000 0.000 4.919
0.000 0.000 7.606
2.340 2.340 1.343
2.340 2.340 11.182
```

Values from the calculation:
For the formation enthalpy at 0 K, the calculation gives 0.13 eV per atom. The value obtained for the calculated volume is 19.60 Å³/atom. As for the density of states at the Fermi level: 16.288 states/eV per cell. For the magnetization, the calculation gives 0.0 μB/cell.



[5]
Hf2CoNi | PBE | optimized geometry

Cell and atoms, written as POSCAR:
```
Hf2CoNi
1.0
2.869 0.000 0.000
0.000 4.989 0.000
0.000 0.000 9.732
Hf Co Ni
4 2 2
Cartesian
0.000 0.000 2.405
0.000 0.000 7.327
1.434 2.495 2.461
1.434 2.495 7.271
0.000 0.000 0.000
1.434 2.495 4.866
0.000 0.000 4.866
1.434 2.495 0.000
```

Values from the calculation:
For the formation enthalpy at 0 K, the calculation gives 0.61 eV per atom. The value obtained for the calculated volume is 17.41 Å³/atom. As for the density of states at the Fermi level: 8.062 states/eV per cell. For the magnetization, the calculation gives 1.7 μB/cell.



[6]
HfCo2Ni2 | PBE | optimized geometry

Cell and atoms, written as POSCAR:
```
HfCo2Ni2
1.0
6.849 0.000 0.000
0.000 6.849 0.000
0.000 0.000 2.732
Hf Co Ni
2 4 4
Cartesian
0.000 0.000 0.000
3.424 3.424 0.000
0.841 2.583 0.000
2.583 6.007 0.000
4.266 0.841 0.000
6.007 4.266 0.000
1.179 4.603 1.366
2.245 1.179 1.366
4.603 5.670 1.366
5.670 2.245 1.366
```

Values from the calculation:
For the formation enthalpy at 0 K, the calculation gives -0.04 eV per atom. The polymorph energy (0 for the lowest one) is 0.35 eV per formula unit. The value obtained for the calculated volume is 12.82 Å³/atom. As for the density of states at the Fermi level: 15.342 states/eV per cell. For the magnetization, the calculation gives 6.3 μB/cell.



[7]
Hf2Co15Ni2 | PBE | optimized geometry

Cell and atoms, written as POSCAR:
```
Hf2Co15Ni2
1.0
4.088 2.360 3.959
-4.088 2.360 3.959
0.000 -4.721 3.959
Hf Co Ni
2 15 2
Cartesian
0.000 0.000 1.892
0.000 0.000 9.984
-2.044 -1.180 3.959
0.000 -2.400 3.749
-2.078 1.200 3.749
-1.193 -2.066 5.938
-2.386 0.000 5.938
-2.078 -1.200 8.127
-2.044 1.180 7.917
1.193 -2.066 5.938
0.000 2.360 3.959
-1.193 2.066 5.938
2.078 1.200 3.749
2.386 0.000 5.938
1.193 2.066 5.938
2.078 -1.200 8.127
0.000 2.400 8.127
0.000 0.000 4.690
0.000 0.000 7.186
```

Values from the calculation:
For the formation enthalpy at 0 K, the calculation gives -0.10 eV per atom. The value obtained for the calculated volume is 12.06 Å³/atom. As for the density of states at the Fermi level: 22.522 states/eV per cell. For the magnetization, the calculation gives 21.6 μB/cell.



[8]
Hf6Co2Ni | PBE | optimized geometry

Cell and atoms, written as POSCAR:
```
Hf6Co2Ni
1.0
-4.165 4.253 4.675
4.165 -4.253 4.675
4.165 4.253 -4.675
Hf Co Ni
12 4 2
Cartesian
4.165 2.615 -2.520
2.469 1.571 0.000
5.862 1.571 0.000
1.659 4.253 -1.590
2.506 0.000 3.085
0.000 1.638 2.154
4.165 2.615 2.520
1.659 4.253 1.590
2.506 0.000 6.265
-1.697 2.682 4.675
1.697 2.682 4.675
0.000 1.638 7.195
4.165 0.000 1.249
0.000 2.903 0.000
0.000 5.603 0.000
0.000 4.253 3.426
0.000 0.000 0.000
0.000 0.000 4.675
```

Values from the calculation:
For the formation enthalpy at 0 K, the calculation gives -0.26 eV per atom. The polymorph energy (0 for the lowest one) is 0.00 eV per formula unit. The value obtained for the calculated volume is 18.40 Å³/atom. As for the density of states at the Fermi level: 16.758 states/eV per cell. For the magnetization, the calculation gives 0.0 μB/cell.



[9]
Hf3Co7Ni2 | PBE | optimized geometry

Cell and atoms, written as POSCAR:
```
Hf3Co7Ni2
1.0
2.387 1.378 7.968
-2.387 1.378 7.968
0.000 -2.756 7.968
Hf Co Ni
3 7 2
Cartesian
0.000 0.000 0.000
0.000 0.000 3.314
0.000 0.000 20.592
-1.205 -0.696 9.968
0.000 -1.391 13.938
-1.205 0.696 13.938
0.000 0.000 11.953
1.205 -0.696 9.968
0.000 1.391 9.968
1.205 0.696 13.938
0.000 0.000 7.988
0.000 0.000 15.917
```

Values from the calculation:
For the formation enthalpy at 0 K, the calculation gives -0.33 eV per atom. The value obtained for the calculated volume is 13.11 Å³/atom. As for the density of states at the Fermi level: 14.116 states/eV per cell. For the magnetization, the calculation gives 6.6 μB/cell.



[10]
Hf3Co8Ni | PBE | optimized geometry

Cell and atoms, written as POSCAR:
```
Hf3Co8Ni
1.0
2.404 1.388 7.838
-2.404 1.388 7.838
0.000 -2.776 7.838
Hf Co Ni
3 8 1
Cartesian
0.000 0.000 0.000
0.000 0.000 3.070
0.000 0.000 12.169
-1.206 -0.696 9.435
0.000 -1.378 5.555
-1.194 0.689 5.555
0.000 0.000 7.490
1.194 0.689 5.555
1.206 -0.696 9.435
0.000 1.392 9.435
0.000 0.000 19.256
0.000 0.000 14.987
```

Values from the calculation:
For the formation enthalpy at 0 K, the calculation gives -0.29 eV per atom. The value obtained for the calculated volume is 13.07 Å³/atom. As for the density of states at the Fermi level: 17.511 states/eV per cell. For the magnetization, the calculation gives 7.5 μB/cell.



[11]
Hf6Co2Ni | PBE | optimized geometry

Cell and atoms, written as POSCAR:
```
Hf6Co2Ni
1.0
5.630 0.000 0.000
0.000 6.724 0.000
-5.585 0.000 8.855
Hf Co Ni
12 4 2
Cartesian
-0.966 0.419 2.145
-3.759 2.943 6.572
0.829 4.768 0.625
-1.964 5.317 5.052
1.861 1.007 0.511
-0.931 2.355 4.938
0.976 4.369 3.917
-1.817 5.717 8.344
2.008 1.406 3.802
-0.785 1.955 8.230
3.803 3.781 2.283
1.011 6.305 6.710
-2.330 0.732 6.393
0.463 2.629 1.966
-0.418 4.094 6.889
2.375 5.991 2.462
0.022 0.000 4.427
2.815 3.362 0.000
```

Values from the calculation:
For the formation enthalpy at 0 K, the calculation gives -0.17 eV per atom. The polymorph energy (0 for the lowest one) is 0.82 eV per formula unit. The value obtained for the calculated volume is 18.62 Å³/atom. As for the density of states at the Fermi level: 20.269 states/eV per cell. For the magnetization, the calculation gives 0.0 μB/cell.



[12]
HfCo2Ni2 | PBE | optimized geometry

Cell and atoms, written as POSCAR:
```
HfCo2Ni2
1.0
3.443 0.000 0.000
0.000 3.443 0.000
0.000 0.000 11.275
Hf Co Ni
2 4 4
Cartesian
0.000 0.000 0.000
1.722 1.722 5.637
0.000 1.722 2.819
0.000 1.722 8.456
1.722 0.000 2.819
1.722 0.000 8.456
0.000 0.000 4.488
0.000 0.000 6.787
1.722 1.722 1.150
1.722 1.722 10.125
```

Values from the calculation:
For the formation enthalpy at 0 K, the calculation gives -0.11 eV per atom. The polymorph energy (0 for the lowest one) is 0.00 eV per formula unit. The value obtained for the calculated volume is 13.37 Å³/atom. As for the density of states at the Fermi level: 7.423 states/eV per cell. For the magnetization, the calculation gives 6.2 μB/cell.



> magnetization of number 2 (Hf2CoNi9)?

4.0 μB/cell